[1]
## NbSeS (PBE)

Data for NbSeS after structural relaxation.

a b c (Å): 6.678 6.678 6.678
angles (deg): 29.61 29.61 29.61
Fractional positions:
Nb 0.671 0.671 0.671
S 0.417 0.417 0.417
Se 0.247 0.247 0.247

Values from the calculation:
theoretical density	5.26	g cm⁻³
E_tot	-6.834	eV/atom
distance to the lowest polymorph of the same formula	1.0	meV/atom

=====

[2]
## NbSeS (PBE)

Data for NbSeS after structural relaxation.

a b c (Å): 12.120 12.120 5.920
angles (deg): 90.00 90.00 163.82
Fractional positions:
Nb 0.500 0.500 0.412
Nb 0.000 0.000 0.937
S 0.935 0.065 0.259
S 0.065 0.935 0.259
Se 0.570 0.430 0.757
Se 0.430 0.570 0.757

Values from the calculation:
theoretical density	2.79	g cm⁻³
E_tot	-6.835	eV/atom
distance to the lowest polymorph of the same formula	0.0	meV/atom

=====

[3]
## NbSeS (PBE)

Data for NbSeS after structural relaxation.

a b c (Å): 24.013 3.415 3.415
angles (deg): 59.99 90.00 90.00
Fractional positions:
Nb 0.000 0.425 0.425
Nb 0.500 0.925 0.925
S 0.064 0.758 0.758
S 0.936 0.758 0.758
Se 0.429 0.258 0.258
Se 0.571 0.258 0.258

Values from the calculation:
theoretical density	2.79	g cm⁻³
E_tot	-6.823	eV/atom
distance to the lowest polymorph of the same formula	12.2	meV/atom

=====

[4]
## NbSeS (PBE)

Data for NbSeS after structural relaxation.

a b c (Å): 3.409 3.409 12.581
angles (deg): 90.00 90.00 120.00
Fractional positions:
Nb 0.000 0.000 0.000
Nb 0.000 0.000 0.500
S 0.333 0.667 0.123
S 0.333 0.667 0.877
Se 0.667 0.333 0.364
Se 0.667 0.333 0.636

Values from the calculation:
theoretical density	5.35	g cm⁻³
E_tot	-6.825	eV/atom
distance to the lowest polymorph of the same formula	10.0	meV/atom